No. 1
Below is a relaxed structure of MnNiSe2Br, with properties calculated at the PBE-GGA level.

## Properties
The energy above the most stable polymorph in this dataset is 109 kJ/mol of formula units. The spin magnetization comes out at 5.151 μB/f.u. Its formation energy without anion corrections is 527 meV per atom.

Unit cell a=4.8691 b=4.8691 c=4.9649 alpha=90.00 beta=90.00 gamma=90.00
Last column: nearest neighbours and their distance in Å.
Sites, in units of the cell vectors:
Se 0.5000 0.0000 0.0000  2 Mn 2.43
Se 0.0000 0.5000 0.0000  2 Mn 2.43
Ni 0.5000 0.5000 0.5000  4 Br 3.44, 8 Se 3.48
Mn 0.0000 0.0000 0.0000  4 Se 2.43, 2 Br 2.48
Br 0.0000 0.0000 0.5000  2 Mn 2.48

=====

No. 2
Below is a relaxed structure of MnTlNiBr6, with properties calculated at the PBE-GGA level.

## Properties
The spin magnetization comes out at 5.998 μB/f.u. Its formation energy without anion corrections is -569 meV per atom.

Unit cell a=6.6730 b=6.6730 c=7.3039 alpha=90.00 beta=90.00 gamma=59.99
Last column: nearest neighbours and their distance in Å.
Sites, in units of the cell vectors:
Br 0.3764 0.6268 0.2998  1 Ni 2.54, 1 Mn 2.57
Br 0.6268 0.9968 0.2998  1 Ni 2.54, 1 Mn 2.57
Br 0.9967 0.6268 0.7002  1 Ni 2.54, 1 Mn 2.57
Br 0.6268 0.3765 0.7002  1 Ni 2.54, 1 Mn 2.57
Br 0.9968 0.3764 0.2998  1 Ni 2.54, 1 Mn 2.57
Br 0.3764 0.9968 0.7002  1 Ni 2.54, 1 Mn 2.57
Tl 0.0000 0.0000 0.0000  6 Br 3.32
Ni 0.6666 0.6667 0.5000  6 Br 2.54
Mn 0.3333 0.3333 0.5000  6 Br 2.57

=====

No. 3
Below is a relaxed structure of Mn2TlNiBr, with properties calculated at the PBE-GGA level.

## Properties
The spin magnetization comes out at 8.020 μB/f.u. Its formation energy without anion corrections is 1459 meV per atom.

Unit cell a=5.2508 b=5.8678 c=5.2508 alpha=90.00 beta=90.00 gamma=90.00
Last column: nearest neighbours and their distance in Å.
Sites, in units of the cell vectors:
Mn 0.5000 0.0000 0.0000  2 Tl 2.63
Mn 0.0000 0.0000 0.5000  2 Tl 2.63
Br 0.0000 0.5000 0.0000  2 Tl 2.93
Tl 0.0000 0.0000 0.0000  4 Mn 2.63, 2 Br 2.93
Ni 0.5000 0.5000 0.5000  4 Br 3.71, 8 Mn 3.94

=====

No. 4
Below is a relaxed structure of Y2MnNiBr, with properties calculated at the PBE-GGA level.

## Properties
The energy above the most stable polymorph in this dataset is 0 kJ/mol of formula units. The spin magnetization comes out at 3.831 μB/f.u. Its formation energy without anion corrections is -115 meV per atom.

Unit cell a=5.3044 b=4.5662 c=5.3044 alpha=90.00 beta=90.00 gamma=90.00
Last column: nearest neighbours and their distance in Å.
Sites, in units of the cell vectors:
Ni 0.0000 0.0000 0.0000  2 Mn 2.28
Y 0.5000 0.0000 0.0000  2 Ni 2.65
Y 0.0000 0.0000 0.5000  2 Ni 2.65
Br 0.5000 0.5000 0.5000  8 Y 3.50, 4 Mn 3.75
Mn 0.0000 0.5000 0.0000  2 Ni 2.28

=====

No. 5
Below is a relaxed structure of Y2MnNiBr, with properties calculated at the PBE-GGA level.

## Properties
The energy above the most stable polymorph in this dataset is 263 kJ/mol of formula units. The spin magnetization comes out at 2.880 μB/f.u. Its formation energy without anion corrections is 429 meV per atom.

Unit cell a=5.2948 b=4.4217 c=5.2948 alpha=90.00 beta=90.00 gamma=90.00
Last column: nearest neighbours and their distance in Å.
Sites, in units of the cell vectors:
Ni 0.5000 0.5000 0.5000  8 Y 3.45, 4 Mn 3.74
Mn 0.0000 0.5000 0.0000  2 Br 2.21
Br 0.0000 0.0000 0.0000  2 Mn 2.21
Y 0.5000 0.0000 0.0000  2 Br 2.65
Y 0.0000 0.0000 0.5000  2 Br 2.65

=====

No. 6
Below is a relaxed structure of NpMnBr6, with properties calculated at the PBE-GGA level.

## Properties
The spin magnetization comes out at 8.000 μB/f.u. Its formation energy without anion corrections is -1018 meV per atom.

Unit cell a=6.9261 b=6.9262 c=7.4302 alpha=62.21 beta=62.22 gamma=60.00
Last column: nearest neighbours and their distance in Å.
Sites, in units of the cell vectors:
Br 0.6103 0.9020 0.2434  1 Mn 2.67, 1 Np 2.79
Br 0.0980 0.7557 0.7567  1 Mn 2.67, 1 Np 2.79
Br 0.9020 0.2443 0.2433  1 Mn 2.67, 1 Np 2.79
Br 0.3897 0.0980 0.7566  1 Mn 2.67, 1 Np 2.79
Br 0.7557 0.3896 0.7566  1 Mn 2.67, 1 Np 2.79
Br 0.2443 0.6104 0.2434  1 Mn 2.67, 1 Np 2.79
Mn 0.0000 0.0000 0.0000  6 Br 2.67
Np 0.5000 0.5000 0.5000  6 Br 2.79